DFT (PBE) results for Ag5TeO5 after structural relaxation.

Unit cell a=6.684 b=6.684 c=7.066 alpha=102.86 beta=102.86 gamma=34.13
Positions (direct):
Ag  0.000  0.000  0.000
Ag  0.312  0.312  0.704
Ag  0.317  0.317  0.117
Ag  0.683  0.683  0.883
Ag  0.688  0.688  0.296
Te  0.000  0.000  0.500
O  0.090  0.090  0.305
O  0.130  0.130  0.712
O  0.500  0.500  0.500
O  0.870  0.870  0.288
O  0.910  0.910  0.695

Summary:
Space group = C2/m, No. 12
Formation energy without anion corrections = -0.3417 eV per atom
Total energy = -4.177 eV per atom
Total magnetic moment = 0.00 Bohr magnetons per cell